Record 1
A relaxed LaZnNi2 crystal. Source: the Alexandria database, functional PBE.

As for the space group: Cm. For the formation enthalpy at 0 K, the calculation gives -6.50 kcal/mol of atoms. The final energy is -4.72 eV per atom. The density of states at the Fermi level comes out at 3.50 states/eV/cell.

Cell lengths 4.1387, 4.1387, 5.5893 Å; angles 68.10, 68.10, 60.03 degrees
With the nearest neighbours (Å) after each atom.
Sites, in units of the cell vectors:
Ni1 0.0533 0.0533 0.8388  3 Ni 2.40, 3 Zn 2.59
Ni2 0.7359 0.7359 0.7916  3 Ni 2.40, 3 Zn 2.51
Zn1 0.4530 0.4530 0.6411  6 Ni 2.51-2.59
La1 0.2578 0.2578 0.2285  4 Zn 2.96-3.17, 7 Ni 3.08-3.26



Record 2
A relaxed La3Zn6Ni5 crystal. Source: the Alexandria database, functional PBE.

As for the space group: Pmmn. For the formation enthalpy at 0 K, the calculation gives -7.96 kcal/mol of atoms. The final energy is -4.01 eV per atom. The density of states at the Fermi level comes out at 19.67 states/eV/cell.

Cell lengths 4.1740, 9.3223, 12.6405 Å; angles 90.00, 90.00, 90.00 degrees
With the nearest neighbours (Å) after each atom.
Sites, in units of the cell vectors:
Zn1 0.5000 0.4233 0.1854  4 Ni 2.63-2.66, 1 Zn 2.69
Zn2 0.0000 0.4361 0.5000  4 Ni 2.48, 2 Zn 2.69
Zn3 0.5000 0.0082 0.3646  4 Ni 2.53-2.81, 2 Zn 2.70
Zn4 0.0000 0.9918 0.1354  4 Ni 2.53-2.81, 2 Zn 2.70
Zn5 0.0000 0.5767 0.6854  4 Ni 2.63-2.66, 1 Zn 2.69
Zn6 0.5000 0.4233 0.8146  4 Ni 2.63-2.66, 1 Zn 2.69
Zn7 0.0000 0.9918 0.8646  4 Ni 2.53-2.81, 2 Zn 2.70
Zn8 0.5000 0.9851 0.0000  4 Ni 2.53-2.80, 4 Zn 2.70
Zn9 0.0000 0.0149 0.5000  4 Ni 2.53-2.80, 4 Zn 2.70
Zn10 0.5000 0.5639 0.0000  4 Ni 2.48, 2 Zn 2.69
Zn11 0.0000 0.5767 0.3146  4 Ni 2.63-2.66, 1 Zn 2.69
Zn12 0.5000 0.0082 0.6354  4 Ni 2.53-2.81, 2 Zn 2.70
Ni1 0.0000 0.5564 0.1055  5 Zn 2.48-2.65, 2 Ni 2.51-2.67
Ni2 0.5000 0.2151 0.5000  2 Ni 2.51, 4 Zn 2.58-2.80
Ni3 0.5000 0.1391 0.1646  5 Zn 2.53-2.81
Ni4 0.0000 0.8609 0.3354  5 Zn 2.53-2.81
Ni5 0.5000 0.4436 0.6055  5 Zn 2.48-2.65, 2 Ni 2.51-2.67
Ni6 0.0000 0.5564 0.8945  5 Zn 2.48-2.65, 2 Ni 2.51-2.67
Ni7 0.5000 0.1391 0.8354  5 Zn 2.53-2.81
Ni8 0.0000 0.7849 0.0000  2 Ni 2.51, 4 Zn 2.58-2.80
Ni9 0.5000 0.4436 0.3945  5 Zn 2.48-2.65, 2 Ni 2.51-2.67
Ni10 0.0000 0.8609 0.6646  5 Zn 2.53-2.81
La1 0.0000 0.2399 0.3077  6 Ni 2.92-3.21, 8 Zn 3.04-3.21
La2 0.0000 0.2835 0.0000  2 Ni 2.87, 2 Zn 3.21
La3 0.5000 0.7165 0.5000  2 Ni 2.87, 2 Zn 3.21
La4 0.5000 0.7601 0.8077  6 Ni 2.92-3.21, 8 Zn 3.04-3.21
La5 0.5000 0.7601 0.1923  6 Ni 2.92-3.21, 8 Zn 3.04-3.21
La6 0.0000 0.2399 0.6923  6 Ni 2.92-3.21, 8 Zn 3.04-3.21



Record 3
A relaxed LaZnNi crystal. Source: the Alexandria database, functional PBE.

As for the space group: P-1. For the formation enthalpy at 0 K, the calculation gives -8.99 kcal/mol of atoms. The final energy is -4.38 eV per atom. The density of states at the Fermi level comes out at 4.18 states/eV/cell. As for the offset from the most stable computed form: 0 meV/atom.

Cell lengths 4.2961, 5.1462, 6.1054 Å; angles 80.09, 69.48, 90.07 degrees
With the nearest neighbours (Å) after each atom.
Sites, in units of the cell vectors:
La1 0.3813 0.6934 0.7374  2 Ni 2.68-2.88
La2 0.6187 0.3066 0.2626  2 Ni 2.68-2.88
Zn1 0.0978 0.7958 0.3039  3 Ni 2.50-2.52
Zn2 0.9022 0.2042 0.6961  3 Ni 2.50-2.52
Ni1 0.2882 0.1349 0.9242  3 Zn 2.50-2.52, 2 Ni 2.62, 1 La 2.68
Ni2 0.7118 0.8651 0.0758  3 Zn 2.50-2.52, 2 Ni 2.62, 1 La 2.68



Record 4
A relaxed LaZnNi crystal. Source: the Alexandria database, functional PBE.

As for the space group: F-43m. For the formation enthalpy at 0 K, the calculation gives 7.70 kcal/mol of atoms. The final energy is -3.66 eV per atom. The density of states at the Fermi level comes out at 2.93 states/eV/cell. As for the offset from the most stable computed form: 724 meV/atom.

Cell lengths 4.7990, 4.7990, 4.7990 Å; angles 60.00, 60.00, 60.00 degrees
With the nearest neighbours (Å) after each atom.
Sites, in units of the cell vectors:
Zn1 0.5000 0.5000 0.5000  4 La 2.94
La1 0.7500 0.7500 0.7500  4 Zn 2.94, 4 Ni 2.94
Ni1 0.0000 0.0000 0.0000  4 La 2.94



Record 5
A relaxed LaZnNi2 crystal. Source: the Alexandria database, functional PBE.

As for the space group: Pmmm. For the formation enthalpy at 0 K, the calculation gives -3.19 kcal/mol of atoms. The final energy is -4.58 eV per atom. The density of states at the Fermi level comes out at 2.53 states/eV/cell.

Cell lengths 3.1860, 3.3188, 7.2053 Å; angles 62.52, 90.00, 90.00 degrees
With the nearest neighbours (Å) after each atom.
Sites, in units of the cell vectors:
Zn1 0.5000 0.2500 0.2500  8 Ni 2.60
Ni1 0.0000 0.9397 0.0605  1 Ni 2.42, 4 Zn 2.60
Ni2 0.0000 0.5603 0.4395  1 Ni 2.42, 4 Zn 2.60
La1 0.5000 0.7500 0.7500  8 Ni 3.04, 4 La 3.19-3.32, 2 Zn 3.20



Record 6
A relaxed LaZnNi crystal. Source: the Alexandria database, functional PBE.

As for the space group: I4mm. For the formation enthalpy at 0 K, the calculation gives -4.33 kcal/mol of atoms. The final energy is -4.18 eV per atom. The density of states at the Fermi level comes out at 2.02 states/eV/cell. As for the offset from the most stable computed form: 202 meV/atom.

Cell lengths 5.8222, 5.8225, 3.3287 Å; angles 73.39, 73.39, 33.22 degrees
With the nearest neighbours (Å) after each atom.
Sites, in units of the cell vectors:
La1 0.9899 0.9899 0.0101  5 Zn 3.02-3.29, 5 Ni 3.07-3.35, 4 La 3.33
Ni1 0.3043 0.3043 0.6957  4 Zn 2.58
Zn1 0.7059 0.7059 0.2941  4 Ni 2.58



Record 7
A relaxed LaZn2Ni crystal. Source: the Alexandria database, functional PBE.

As for the space group: P4mm. For the formation enthalpy at 0 K, the calculation gives -3.48 kcal/mol of atoms. The final energy is -3.47 eV per atom. The density of states at the Fermi level comes out at 2.29 states/eV/cell.

Cell lengths 3.2424, 3.2438, 7.0465 Å; angles 90.00, 90.00, 90.00 degrees
With the nearest neighbours (Å) after each atom.
Sites, in units of the cell vectors:
Ni1 0.5000 0.5000 0.8115  5 Zn 2.57-2.63
Zn1 0.0000 0.0000 0.9750  4 Ni 2.57, 4 Zn 2.73
Zn2 0.5000 0.5000 0.1841  1 Ni 2.63, 4 Zn 2.73
La1 0.0000 0.0000 0.5294  4 Ni 3.03, 5 Zn 3.14-3.34, 4 La 3.24



Record 8
A relaxed LaZn2Ni crystal. Source: the Alexandria database, functional PBE.

As for the space group: Cm. For the formation enthalpy at 0 K, the calculation gives -7.60 kcal/mol of atoms. The final energy is -3.64 eV per atom. The density of states at the Fermi level comes out at 3.54 states/eV/cell.

Cell lengths 4.3344, 4.3344, 5.5125 Å; angles 66.85, 66.85, 60.10 degrees
With the nearest neighbours (Å) after each atom.
Sites, in units of the cell vectors:
Ni1 0.3127 0.3127 0.0630  6 Zn 2.50-2.65, 1 La 2.79
Zn1 0.9824 0.9824 0.0529  3 Ni 2.50, 3 Zn 2.63
Zn2 0.7038 0.7038 0.8885  3 Zn 2.63, 3 Ni 2.64-2.65
La1 0.5012 0.5012 0.4957  1 Ni 2.79, 1 Zn 2.98



no.,total magnetic moment (μB per cell)
1,0.000
2,0.000
3,0.000
4,0.000
5,0.000
6,0.000
7,0.001
8,0.000